1.
Computed, not measured: a geometry-optimized LiTcAs2 structure at the PBE level of DFT.

a = 3.4145 Å, b = 4.6815 Å, c = 3.8191 Å
α = 90.00°, β = 90.00°, γ = 90.00°
Closest atoms and distances in Å follow each position.
Positions (direct):
Tc 0.0000 0.5000 0.5000  4 As 2.56
As 0.0000 0.0000 0.0000  4 Li 2.56
Li 0.5000 0.0000 0.5000  4 As 2.56
As 0.5000 0.5000 0.0000  4 Tc 2.56

## Properties
**ΔE_f**: 47 meV per atom
**Calculated volume**: 15.3 Å³ per atom
**Offset from the most stable computed form**: 0.392 eV per atom
**Density of states at the Fermi level**: 2.7 states/eV/f.u.
**SG**: Pmmm
**Uncorrected energy**: -21.39 eV for the cell shown

2.
Computed, not measured: a geometry-optimized Sm9Dy4Tl11 structure at the PBE level of DFT.

a = 3.5944 Å, b = 13.9721 Å, c = 13.9721 Å
α = 100.59°, β = 90.00°, γ = 90.00°
Closest atoms and distances in Å follow each position.
Positions (direct):
Tl 0.0000 0.6353 0.3647  6 Sm 3.42-3.56, 4 Dy 3.45, 2 Tl 3.59
Tl 0.0000 0.0000 0.0000  8 Sm 3.37, 4 Tl 3.59-3.69
Tl 0.0000 0.9317 0.5836  2 Dy 3.25, 3 Tl 3.28-3.59, 6 Sm 3.39-3.41
Dy 0.5000 0.2639 0.4309  6 Tl 3.23-3.45, 2 Sm 3.26-3.43, 3 Dy 3.59
Dy 0.5000 0.4309 0.2639  6 Tl 3.23-3.45, 2 Sm 3.26-3.43, 3 Dy 3.59
Tl 0.0000 0.8282 0.1718  8 Sm 3.32-3.34, 3 Tl 3.59-3.69
Sm 0.5000 0.1425 0.6231  8 Tl 3.34-3.56, 1 Dy 3.43, 3 Sm 3.59-3.70
Sm 0.5000 0.0315 0.2071  8 Tl 3.32-3.39, 3 Sm 3.59-3.70
Tl 0.0000 0.3647 0.6353  6 Sm 3.42-3.56, 4 Dy 3.45, 2 Tl 3.59
Tl 0.0000 0.1718 0.8282  8 Sm 3.32-3.34, 3 Tl 3.59-3.69
Dy 0.5000 0.5691 0.7361  6 Tl 3.23-3.45, 2 Sm 3.26-3.43, 3 Dy 3.59
Tl 0.0000 0.7640 0.7640  4 Dy 3.23, 4 Sm 3.34, 2 Tl 3.59
Tl 0.0000 0.4164 0.0683  2 Dy 3.25, 3 Tl 3.28-3.59, 6 Sm 3.39-3.41
Sm 0.5000 0.7929 0.9685  8 Tl 3.32-3.39, 3 Sm 3.59-3.70
Sm 0.5000 0.5000 0.5000  4 Dy 3.26, 4 Tl 3.42, 2 Sm 3.59
Tl 0.0000 0.2360 0.2360  4 Dy 3.23, 4 Sm 3.34, 2 Tl 3.59
Sm 0.5000 0.8575 0.3769  8 Tl 3.34-3.56, 1 Dy 3.43, 3 Sm 3.59-3.70
Sm 0.5000 0.9685 0.7929  8 Tl 3.32-3.39, 3 Sm 3.59-3.70
Sm 0.5000 0.2071 0.0315  8 Tl 3.32-3.39, 3 Sm 3.59-3.70
Tl 0.0000 0.5836 0.9317  2 Dy 3.25, 3 Tl 3.28-3.59, 6 Sm 3.39-3.41
Sm 0.5000 0.3769 0.8575  8 Tl 3.34-3.56, 1 Dy 3.43, 3 Sm 3.59-3.70
Sm 0.5000 0.6231 0.1425  8 Tl 3.34-3.56, 1 Dy 3.43, 3 Sm 3.59-3.70
Tl 0.0000 0.0683 0.4164  2 Dy 3.25, 3 Tl 3.28-3.59, 6 Sm 3.39-3.41
Dy 0.5000 0.7361 0.5691  6 Tl 3.23-3.45, 2 Sm 3.26-3.43, 3 Dy 3.59

## Properties
**ΔE_f**: -291 meV per atom
**Calculated volume**: 28.7 Å³ per atom
**Density of states at the Fermi level**: 24.2 states/eV/f.u.
**SG**: Cmmm
**Uncorrected energy**: -93.88 eV for the cell shown

3.
Computed, not measured: a geometry-optimized NaLiUF6 structure at the PBE level of DFT.

a = 5.1408 Å, b = 5.1408 Å, c = 10.1576 Å
α = 90.00°, β = 90.00°, γ = 90.00°
Closest atoms and distances in Å follow each position.
Positions (direct):
F 0.2937 0.2937 0.3234  1 Li 2.14, 1 U 2.18, 1 Na 2.37
F 0.6964 0.6964 0.6790  1 Li 2.07, 1 U 2.21, 1 Na 2.28
U 0.5000 0.5000 0.1671  6 F 2.18-2.21
F 0.8036 0.1964 0.1790  1 Li 2.07, 1 U 2.21, 1 Na 2.28
F 0.1869 0.8131 0.4988  1 U 2.18, 1 Li 2.22, 1 Na 2.28
F 0.3036 0.3036 0.6790  1 Li 2.07, 1 U 2.21, 1 Na 2.28
F 0.8131 0.1869 0.4988  1 U 2.18, 1 Li 2.22, 1 Na 2.28
F 0.1964 0.8036 0.1790  1 Li 2.07, 1 U 2.21, 1 Na 2.28
F 0.7063 0.7063 0.3234  1 Li 2.14, 1 U 2.18, 1 Na 2.37
U 0.0000 0.0000 0.6671  6 F 2.18-2.21
Na 0.5000 0.5000 0.5041  6 F 2.28-2.37
F 0.6869 0.6869 0.9988  1 U 2.18, 1 Li 2.22, 1 Na 2.28
Na 0.0000 0.0000 0.0041  6 F 2.28-2.37
Li 0.0000 0.0000 0.3264  6 F 2.07-2.22
F 0.3131 0.3131 0.9988  1 U 2.18, 1 Li 2.22, 1 Na 2.28
F 0.7937 0.2063 0.8234  1 Li 2.14, 1 U 2.18, 1 Na 2.37
Li 0.5000 0.5000 0.8264  6 F 2.07-2.22
F 0.2063 0.7937 0.8234  1 Li 2.14, 1 U 2.18, 1 Na 2.37

## Properties
**Calculated volume**: 14.9 Å³ per atom
**Formation energy from raw total energies**: -3.284 eV/atom
**Density of states at the Fermi level**: 6.4 states/eV/f.u.
**SG**: P4_2nm
**Uncorrected energy**: -110.62 eV for the cell shown

Which value of uncorrected energy does entry 1 give?
-21.39 eV for the cell shown

The lowest density of states at the Fermi level belongs to which entry?
LiTcAs2

What is the calculated volume in the first record?
15.3 Å³ per atom

The lowest calculated volume belongs to which entry?
NaLiUF6